GGA-PBE Fe3Pt, relaxed; raw total energy = -31.8 eV/cell; D(E_F) = 0.56 states/eV/atom; energy of formation = -83 meV per atom; SG = Pmmm; spin magnetization = 8.64 μB per formula unit
1.0
2.812 0.000 0.000
0.000 3.207 0.000
0.000 0.000 5.775
Fe Pt
3 1
Cartesian
0.000 0.000 0.000
1.406 1.603 1.334
1.406 1.603 4.441
0.000 0.000 2.888